## Mg3CdGa (PBE-GGA)

Data for a relaxed Mg3CdGa crystal.

Cell lengths 5.9373, 5.9373, 9.5871 Å; angles 110.51, 110.51, 44.28 degrees
Last column: nearest neighbours and their distance in Å.
Fractional positions:
1 Mg 0.0125 0.0125 0.3508  2 Ga 2.82, 1 Cd 2.89, 3 Mg 2.98-3.12
2 Mg 0.2906 0.2906 0.6505  3 Ga 2.81-2.94, 2 Cd 3.00, 2 Mg 3.12
3 Mg 0.3917 0.3917 0.0899  1 Ga 2.98, 5 Cd 2.99-3.34, 2 Mg 3.24
4 Mg 0.6083 0.6083 0.9101  1 Ga 2.98, 5 Cd 2.99-3.34, 2 Mg 3.24
5 Mg 0.7094 0.7094 0.3495  3 Ga 2.81-2.94, 2 Cd 3.00, 2 Mg 3.12
6 Mg 0.9875 0.9875 0.6492  2 Ga 2.82, 1 Cd 2.89, 3 Mg 2.98-3.12
7 Cd 0.1263 0.1263 0.1243  6 Mg 2.89-3.06, 1 Cd 2.90, 1 Ga 2.97
8 Cd 0.8737 0.8737 0.8757  6 Mg 2.89-3.06, 1 Cd 2.90, 1 Ga 2.97
9 Ga 0.3751 0.3751 0.3935  1 Ga 2.73, 6 Mg 2.81-2.98, 1 Cd 2.97
10 Ga 0.6249 0.6249 0.6065  1 Ga 2.73, 6 Mg 2.81-2.98, 1 Cd 2.97

Computed properties:
Volume, Å³/cell: 218.4
VASP energy, eV per cell: -18.054
D(E_F), states/eV/cell: 3.41